# 1
# ZrBeZn2Si PBE relaxed
# DOS(E_F)	0.273	states/eV per atom
# total DFT energy (no corrections)	-3.91	eV/atom
# magnetic moment	0.00	μB per cell
data_ZrBeZn2Si
_cell_length_a 4.133
_cell_length_b 4.133
_cell_length_c 4.828
_cell_angle_alpha 90.00
_cell_angle_beta 90.00
_cell_angle_gamma 90.00
_symmetry_space_group_name_H-M 'P 4/m m m'
_symmetry_Int_Tables_number 123
_symmetry_space_group_name_Hall '-P 4 2'
loop_
_atom_site_label
_atom_site_fract_x
_atom_site_fract_y
_atom_site_fract_z
Zr1 0.000 0.000 0.000
Be1 0.000 0.000 0.500
Zn1 0.000 0.500 0.500
Si1 0.500 0.500 0.000

***

# 2
# Hf3VC PBE relaxed
# relative energy among the computed polymorphs	0	meV/atom
# DOS(E_F)	0.950	states/eV per atom
# total DFT energy (no corrections)	-9.79	eV/atom
# formation energy from the elements	-0.149	eV per atom
# magnetic moment	1.83	μB per cell
data_Hf3VC
_cell_length_a 4.481
_cell_length_b 4.481
_cell_length_c 4.481
_cell_angle_alpha 90.00
_cell_angle_beta 90.00
_cell_angle_gamma 90.00
_symmetry_space_group_name_H-M 'P m -3 m'
_symmetry_Int_Tables_number 221
_symmetry_space_group_name_Hall '-P 4 2 3'
loop_
_atom_site_label
_atom_site_fract_x
_atom_site_fract_y
_atom_site_fract_z
Hf1 0.000 0.000 0.500
V1 0.500 0.500 0.500
C1 0.000 0.000 0.000

***

# 3
# Ac2TbPr5Er PBE relaxed
# DOS(E_F)	1.462	states/eV per atom
# total DFT energy (no corrections)	-4.48	eV/atom
# formation energy from the elements	0.110	eV per atom
# magnetic moment	0.00	μB per cell
data_Ac2TbPr5Er
_cell_length_a 5.653
_cell_length_b 22.732
_cell_length_c 10.515
_cell_angle_alpha 90.00
_cell_angle_beta 90.00
_cell_angle_gamma 90.00
_symmetry_space_group_name_H-M 'C m c m'
_symmetry_Int_Tables_number 63
_symmetry_space_group_name_Hall '-C 2c 2'
loop_
_atom_site_label
_atom_site_fract_x
_atom_site_fract_y
_atom_site_fract_z
Ac1 0.000 0.116 0.012
Tb1 0.000 0.397 0.250
Pr1 0.000 0.003 0.750
Pr2 0.000 0.278 0.061
Pr3 0.000 0.378 0.750
Pr4 0.000 0.500 0.000
Er1 0.000 0.217 0.750

***

# 4
# CuOF PBE relaxed
# relative energy among the computed polymorphs	5	meV/atom
# DOS(E_F)	0.380	states/eV per atom
# total DFT energy (no corrections)	-4.38	eV/atom
# magnetic moment	3.43	μB per cell
data_CuOF
_cell_length_a 4.380
_cell_length_b 5.108
_cell_length_c 6.984
_cell_angle_alpha 90.00
_cell_angle_beta 103.59
_cell_angle_gamma 90.00
_symmetry_space_group_name_H-M 'C 1 2/m 1'
_symmetry_Int_Tables_number 12
loop_
_symmetry_equiv_pos_as_xyz
'x,y,z'
'-x,-y,-z'
'-x,y,-z'
'x,-y,z'
'x+1/2,y+1/2,z'
'-x+1/2,-y+1/2,-z'
'-x+1/2,y+1/2,-z'
'x+1/2,-y+1/2,z'
loop_
_atom_site_label
_atom_site_fract_x
_atom_site_fract_y
_atom_site_fract_z
Cu1 0.183 0.000 0.325
O1 0.144 0.000 0.057
F1 0.210 0.500 0.382

***

# 5
# CePu2As2Pd2 PBE relaxed
# DOS(E_F)	2.218	states/eV per atom
# total DFT energy (no corrections)	-8.52	eV/atom
# formation energy from the elements	-0.765	eV per atom
# magnetic moment	36.12	μB per cell
data_CePu2As2Pd2
_cell_length_a 4.5324
_cell_length_b 4.5324
_cell_length_c 25.0096
_cell_angle_alpha 90.00
_cell_angle_beta 90.00
_cell_angle_gamma 120.00
_symmetry_space_group_name_H-M 'R -3 m'
_symmetry_Int_Tables_number 166
_symmetry_space_group_name_Hall '-R 3 2"'
loop_
_atom_site_label
_atom_site_fract_x
_atom_site_fract_y
_atom_site_fract_z
Ce1 0.0000 0.0000 0.0000
Pu1 0.0000 0.0000 0.1410
As1 0.0000 0.0000 0.2646
Pd1 0.0000 0.0000 0.4251

***

# 6
# Nd2HoAl3 PBE relaxed
# relative energy among the computed polymorphs	0	meV/atom
# DOS(E_F)	0.567	states/eV per atom
# total DFT energy (no corrections)	-4.59	eV/atom
# formation energy from the elements	-0.369	eV per atom
# magnetic moment	0.00	μB per cell
data_Nd2HoAl3
_cell_length_a 6.1005
_cell_length_b 6.1005
_cell_length_c 9.3021
_cell_angle_alpha 90.00
_cell_angle_beta 90.00
_cell_angle_gamma 120.00
_symmetry_space_group_name_H-M 'P 63/m m c'
_symmetry_Int_Tables_number 194
_symmetry_space_group_name_Hall '-P 6c 2c'
loop_
_atom_site_label
_atom_site_fract_x
_atom_site_fract_y
_atom_site_fract_z
Nd1 0.3333 0.6667 0.0646
Ho1 0.0000 0.0000 0.0000
Al1 0.1827 0.3653 0.7500

***

Look up the DOS(E_F) of the sixth one. 0.567 states/eV per atom

***

Which formula does entry 4 have? CuOF

***

Which value of DOS(E_F) does entry 6 give? 0.567 states/eV per atom

***

Which of these has the lowest DOS(E_F)? ZrBeZn2Si